# YAgW3 PBE optimized geometry
# Crystal system: cubic
# Formation energy from the elements in kJ per mole of atoms: 295
data_YAgW3
_chemical_formula_sum 'Y1 Ag1 W3'
_symmetry_space_group_name_H-M 'P m -3 m'
_symmetry_Int_Tables_number 221
_symmetry_space_group_name_Hall '-P 4 2 3'
_cell_length_a 4.8239
_cell_length_b 4.8239
_cell_length_c 4.8239
_cell_angle_alpha 90.00
_cell_angle_beta 90.00
_cell_angle_gamma 90.00
loop_
_atom_site_label
_atom_site_fract_x
_atom_site_fract_y
_atom_site_fract_z
_atom_site_occupancy
Y1 0.0000 0.0000 0.0000 1
Ag1 0.5000 0.5000 0.5000 1
W1 0.0000 0.0000 0.5000 1



# Y2AgW PBE optimized geometry
# Crystal system: tetragonal
# Formation energy from the elements in kJ per mole of atoms: 19
data_Y2AgW
_chemical_formula_sum 'Y2 Ag1 W1'
_symmetry_space_group_name_H-M 'P 4/m m m'
_symmetry_Int_Tables_number 123
_symmetry_space_group_name_Hall '-P 4 2'
_cell_length_a 3.4626
_cell_length_b 3.4626
_cell_length_c 7.7043
_cell_angle_alpha 90.00
_cell_angle_beta 90.00
_cell_angle_gamma 90.00
loop_
_atom_site_label
_atom_site_fract_x
_atom_site_fract_y
_atom_site_fract_z
_atom_site_occupancy
Y1 0.0000 0.0000 0.2328 1
Ag1 0.5000 0.5000 0.5000 1
W1 0.5000 0.5000 0.0000 1



# YAgW2 PBE optimized geometry
# Crystal system: monoclinic
# Formation energy from the elements in kJ per mole of atoms: 60
data_YAgW2
_chemical_formula_sum 'Y2 Ag2 W4'
_symmetry_space_group_name_H-M 'C 1 2/m 1'
_symmetry_Int_Tables_number 12
_symmetry_space_group_name_Hall '-C 2y'
_cell_length_a 5.6180
_cell_length_b 10.2375
_cell_length_c 2.8298
_cell_angle_alpha 90.00
_cell_angle_beta 112.35
_cell_angle_gamma 90.00
loop_
_atom_site_label
_atom_site_fract_x
_atom_site_fract_y
_atom_site_fract_z
_atom_site_occupancy
Y1 0.0000 0.0000 0.0000 1
Ag1 0.0000 0.5000 0.0000 1
W1 0.2500 0.2500 0.5000 1



# Y2AgW PBE optimized geometry
# Crystal system: monoclinic
# Formation energy from the elements in kJ per mole of atoms: 51
data_Y2AgW
_chemical_formula_sum 'Y4 Ag2 W2'
_symmetry_space_group_name_H-M 'C 1 2/m 1'
_symmetry_Int_Tables_number 12
_symmetry_space_group_name_Hall '-C 2y'
_cell_length_a 9.5739
_cell_length_b 3.0834
_cell_length_c 6.3250
_cell_angle_alpha 90.00
_cell_angle_beta 98.31
_cell_angle_gamma 90.00
loop_
_atom_site_label
_atom_site_fract_x
_atom_site_fract_y
_atom_site_fract_z
_atom_site_occupancy
Y1 0.2469 0.0000 0.2384 1
Ag1 0.0000 0.0000 0.5000 1
W1 0.0000 0.5000 0.0000 1



# YAgW2 PBE optimized geometry
# Crystal system: tetragonal
# Formation energy from the elements in kJ per mole of atoms: 53
data_YAgW2
_chemical_formula_sum 'Y1 Ag1 W2'
_symmetry_space_group_name_H-M 'P 4 m m'
_symmetry_Int_Tables_number 99
_symmetry_space_group_name_Hall 'P 4 -2'
_cell_length_a 2.8142
_cell_length_b 2.8142
_cell_length_c 9.4150
_cell_angle_alpha 90.00
_cell_angle_beta 90.00
_cell_angle_gamma 90.00
loop_
_atom_site_label
_atom_site_fract_x
_atom_site_fract_y
_atom_site_fract_z
_atom_site_occupancy
Y1 0.0000 0.0000 0.0000 1
Ag1 0.5000 0.5000 0.2719 1
W1 0.0000 0.0000 0.5030 1
W2 0.5000 0.5000 0.7387 1



# Y2AgW PBE optimized geometry
# Crystal system: trigonal
# Formation energy from the elements in kJ per mole of atoms: 59
data_Y2AgW
_chemical_formula_sum 'Y6 Ag3 W3'
_symmetry_space_group_name_H-M 'R 3 m'
_symmetry_Int_Tables_number 160
_symmetry_space_group_name_Hall 'R 3 -2"'
_cell_length_a 3.2074
_cell_length_b 3.2074
_cell_length_c 31.1354
_cell_angle_alpha 90.00
_cell_angle_beta 90.00
_cell_angle_gamma 120.00
loop_
_atom_site_label
_atom_site_fract_x
_atom_site_fract_y
_atom_site_fract_z
_atom_site_occupancy
Y1 0.0000 0.0000 0.0000 1
Y2 0.0000 0.0000 0.2302 1
Ag1 0.0000 0.0000 0.7492 1
W1 0.0000 0.0000 0.4872 1



# Y2AgW PBE optimized geometry
# Crystal system: cubic
# Formation energy from the elements in kJ per mole of atoms: 33
data_Y2AgW
_chemical_formula_sum 'Y8 Ag4 W4'
_symmetry_space_group_name_H-M 'F m -3 m'
_symmetry_Int_Tables_number 225
_symmetry_space_group_name_Hall '-F 4 2 3'
_cell_length_a 7.1384
_cell_length_b 7.1384
_cell_length_c 7.1384
_cell_angle_alpha 90.00
_cell_angle_beta 90.00
_cell_angle_gamma 90.00
loop_
_atom_site_label
_atom_site_fract_x
_atom_site_fract_y
_atom_site_fract_z
_atom_site_occupancy
Y1 0.2500 0.2500 0.2500 1
Ag1 0.0000 0.0000 0.0000 1
W1 0.0000 0.0000 0.5000 1



# YAgW2 PBE optimized geometry
# Crystal system: tetragonal
# Formation energy from the elements in kJ per mole of atoms: 56
data_YAgW2
_chemical_formula_sum 'Y1 Ag1 W2'
_symmetry_space_group_name_H-M 'P 4/m m m'
_symmetry_Int_Tables_number 123
_symmetry_space_group_name_Hall '-P 4 2'
_cell_length_a 3.9603
_cell_length_b 3.9603
_cell_length_c 4.8835
_cell_angle_alpha 90.00
_cell_angle_beta 90.00
_cell_angle_gamma 90.00
loop_
_atom_site_label
_atom_site_fract_x
_atom_site_fract_y
_atom_site_fract_z
_atom_site_occupancy
Y1 0.0000 0.0000 0.0000 1
Ag1 0.5000 0.5000 0.0000 1
W1 0.0000 0.5000 0.5000 1



Calculated E, -32.90 -27.95 -65.51 -53.27 -33.03 -78.84 -109.53 -32.91 eV for the cell shown (same order as the records).